# 1
First-principles (PBE) data for a geometry-optimized Rb2CdTeBr6 structure, as listed in Alexandria via LeMat-Bulk.

Properties
D(E_F) = 0.00 states/eV per atom
Formation energy from raw total energies = -9.7 eV/f.u.
SG = No. 139
Magnetic moment = 0.00 μB/f.u.

POSCAR file:
```
Rb2CdTeBr6
1.0
8.095 0.000 0.000
0.000 8.095 0.000
4.047 4.047 6.099
Te Br Rb Cd
1 6 2 1
Direct
0.000 0.000 0.000
0.289 0.289 0.423
0.711 0.711 0.577
0.241 0.241 0.000
0.759 0.759 0.000
0.759 0.241 0.000
0.241 0.759 0.000
0.750 0.250 0.500
0.250 0.750 0.500
0.500 0.500 0.000
```


# 2
First-principles (PBE) data for a geometry-optimized PuIn2Se4 structure, as listed in Alexandria via LeMat-Bulk.

Properties
D(E_F) = 2.57 states/eV per atom
Formation energy from raw total energies = -4.6 eV/f.u.
SG = No. 111
Magnetic moment = 5.82 μB/f.u.

POSCAR file:
```
PuIn2Se4
1.0
5.954 0.000 0.000
0.000 5.954 0.000
0.000 0.000 6.695
Pu In Se
1 2 4
Direct
0.000 0.000 0.000
0.500 0.000 0.500
0.000 0.500 0.500
0.727 0.273 0.743
0.273 0.273 0.257
0.273 0.727 0.743
0.727 0.727 0.257
```


# 3
First-principles (PBE) data for a geometry-optimized Pm3Dy2Ni2 structure, as listed in Alexandria via LeMat-Bulk.

Properties
D(E_F) = 1.41 states/eV per atom
Formation enthalpy at 0 K = -202 meV per atom
SG = No. 12
Magnetic moment = 0.00 μB/f.u.

POSCAR file:
```
Pm3Dy2Ni2
1.0
3.616 -0.001 -0.811
-2.233 5.734 -1.494
0.058 0.393 8.727
Pm Dy Ni
3 2 2
Direct
0.500 0.000 0.000
0.185 0.800 0.570
0.815 0.200 0.430
0.641 0.472 0.810
0.359 0.528 0.190
0.058 0.888 0.229
0.942 0.112 0.771
```


# 4
First-principles (PBE) data for a geometry-optimized AgBAu2 structure, as listed in Alexandria via LeMat-Bulk.

Properties
D(E_F) = 0.23 states/eV per atom
Formation enthalpy at 0 K = 385 meV per atom
SG = No. 122
Magnetic moment = 0.00 μB/f.u.

POSCAR file:
```
AgBAu2
1.0
6.991 0.000 0.000
0.000 6.991 0.000
3.495 3.495 2.690
B Au Ag
2 4 2
Direct
0.500 0.500 0.000
0.250 0.750 0.500
0.529 0.125 0.250
0.221 0.625 0.250
0.375 0.471 0.750
0.875 0.779 0.750
0.000 0.000 0.000
0.750 0.250 0.500
```


# 5
First-principles (PBE) data for a geometry-optimized CdSi2Se structure, as listed in Alexandria via LeMat-Bulk.

Properties
D(E_F) = 0.40 states/eV per atom
Formation energy from raw total energies = 1.5 eV/f.u.
SG = No. 44
Magnetic moment = 0.00 μB/f.u.
Distance to the lowest polymorph of the same formula = 0.348 eV per atom

POSCAR file:
```
CdSi2Se
1.0
5.772 -0.012 0.004
2.865 5.011 -0.004
-3.837 -3.330 2.738
Cd Se Si
1 1 2
Direct
0.489 0.489 0.000
0.197 0.697 0.500
0.004 0.004 0.000
0.810 0.310 0.500
```


# 6
First-principles (PBE) data for a geometry-optimized Sr2NdZn3Pt4 structure, as listed in Alexandria via LeMat-Bulk.

Properties
D(E_F) = 0.40 states/eV per atom
Formation enthalpy at 0 K = -717 meV per atom
SG = No. 115
Magnetic moment = 0.00 μB/f.u.

POSCAR file:
```
Sr2NdZn3Pt4
1.0
-2.725 0.205 -3.406
3.397 -0.249 -2.733
-0.854 -11.541 -0.011
Sr Nd Zn Pt
2 1 3 4
Direct
0.500 0.000 0.220
0.000 0.500 0.780
0.500 0.500 0.500
0.000 0.000 0.500
0.500 0.000 0.881
0.000 0.500 0.119
0.500 0.500 0.000
0.000 0.000 0.000
0.500 0.000 0.659
0.000 0.500 0.341
```


# 7
First-principles (PBE) data for a geometry-optimized Sc3InO structure, as listed in Alexandria via LeMat-Bulk.

Properties
D(E_F) = 0.66 states/eV per atom
Formation energy from raw total energies = -6.5 eV/f.u.
SG = No. 62
Magnetic moment = 0.00 μB/f.u.

POSCAR file:
```
Sc3InO
1.0
5.363 0.000 0.000
0.000 12.740 0.000
0.000 0.000 6.076
Sc O In
12 4 4
Direct
0.998 0.877 0.916
0.502 0.377 0.416
0.502 0.123 0.416
0.002 0.377 0.084
0.002 0.123 0.084
0.498 0.623 0.584
0.498 0.877 0.584
0.998 0.623 0.916
0.475 0.250 0.946
0.025 0.750 0.446
0.525 0.750 0.054
0.975 0.250 0.554
0.583 0.250 0.618
0.917 0.750 0.118
0.417 0.750 0.382
0.083 0.250 0.882
0.000 0.000 0.500
0.500 0.500 0.000
0.500 0.000 0.000
0.000 0.500 0.500
```


# 8
First-principles (PBE) data for a geometry-optimized Sm2ErMg structure, as listed in Alexandria via LeMat-Bulk.

Properties
D(E_F) = 1.15 states/eV per atom
Formation enthalpy at 0 K = 24 meV per atom
SG = No. 225
Magnetic moment = 0.00 μB/f.u.
Distance to the lowest polymorph of the same formula = 0.050 eV per atom

POSCAR file:
```
Sm2ErMg
1.0
-4.304 -0.133 -3.503
-5.128 -0.874 1.937
-3.708 4.131 0.001
Mg Sm Er
1 2 1
Direct
0.500 0.500 0.500
0.250 0.250 0.250
0.750 0.750 0.750
0.000 0.000 0.000
```


Question: Look up the magnetic moment of the fourth one.
Answer: 0.00 μB/f.u.